Entry 1:
A geometry-optimized RbZrAg2I8 structure, computed with PBE.

Geometry as CIF:
```
data_RbZrAg2I8
_symmetry_space_group_name_H-M 'P 1'
_symmetry_Int_Tables_number 1
_symmetry_space_group_name_Hall 'P 1'
_cell_length_a 7.610
_cell_length_b 6.772
_cell_length_c 10.427
_cell_angle_alpha 69.86
_cell_angle_beta 88.78
_cell_angle_gamma 95.71
loop_
_atom_site_label
_atom_site_type_symbol
_atom_site_fract_x
_atom_site_fract_y
_atom_site_fract_z
_atom_site_occupancy
I1 I 0.902 0.331 0.755 1
Zr1 Zr 0.000 0.000 0.000 1
I2 I 0.178 0.831 0.832 1
Rb1 Rb 0.000 0.000 0.500 1
I3 I 0.665 0.750 0.991 1
Ag1 Ag 0.400 0.460 0.207 1
I4 I 0.507 0.738 0.523 1
I5 I 0.098 0.669 0.245 1
Ag2 Ag 0.600 0.540 0.793 1
I6 I 0.822 0.169 0.168 1
I7 I 0.493 0.262 0.477 1
I8 I 0.335 0.250 0.009 1
```

total energy: -35.5 eV per cell
ΔE_f (raw): -0.6584 eV/atom
total magnetic moment: 0.00 μB per cell
symmetry: No. 2

Entry 2:
A geometry-optimized RbZrAgI6 structure, computed with PBE.

Geometry as CIF:
```
data_RbZrAgI6
_symmetry_space_group_name_H-M 'P 1'
_symmetry_Int_Tables_number 1
_symmetry_space_group_name_Hall 'P 1'
_cell_length_a 7.822
_cell_length_b 7.822
_cell_length_c 15.970
_cell_angle_alpha 90.00
_cell_angle_beta 90.00
_cell_angle_gamma 120.00
loop_
_atom_site_label
_atom_site_type_symbol
_atom_site_fract_x
_atom_site_fract_y
_atom_site_fract_z
_atom_site_occupancy
I1 I 0.982 0.616 0.355 1
I2 I 0.634 0.616 0.145 1
Zr1 Zr 0.667 0.333 0.250 1
Zr2 Zr 0.333 0.667 0.750 1
I3 I 0.384 0.366 0.355 1
Ag1 Ag 0.667 0.333 0.750 1
I4 I 0.018 0.384 0.645 1
I5 I 0.384 0.018 0.145 1
I6 I 0.366 0.384 0.855 1
Rb1 Rb 0.000 0.000 0.500 1
I7 I 0.634 0.018 0.355 1
I8 I 0.616 0.982 0.855 1
I9 I 0.616 0.634 0.645 1
Rb2 Rb 0.000 0.000 0.000 1
I10 I 0.366 0.982 0.645 1
Ag2 Ag 0.333 0.667 0.250 1
I11 I 0.982 0.366 0.145 1
I12 I 0.018 0.634 0.855 1
```

total energy: -58.9 eV per cell
ΔE_f (raw): -0.8655 eV/atom
total magnetic moment: 0.00 μB per cell
symmetry: No. 163

Entry 3:
A geometry-optimized ReAgI2 structure, computed with PBE.

Geometry as CIF:
```
data_ReAgI2
_symmetry_space_group_name_H-M 'P 1'
_symmetry_Int_Tables_number 1
_symmetry_space_group_name_Hall 'P 1'
_cell_length_a 4.971
_cell_length_b 4.971
_cell_length_c 4.971
_cell_angle_alpha 60.00
_cell_angle_beta 60.00
_cell_angle_gamma 60.00
loop_
_atom_site_label
_atom_site_type_symbol
_atom_site_fract_x
_atom_site_fract_y
_atom_site_fract_z
_atom_site_occupancy
Ag1 Ag 0.000 0.000 0.000 1
I1 I 0.250 0.250 0.250 1
Re1 Re 0.500 0.500 0.500 1
I2 I 0.750 0.750 0.750 1
```

total energy: -13.5 eV per cell
ΔE_f (raw): 1.2192 eV/atom
total magnetic moment: 0.00 μB per cell
symmetry: No. 225
ΔE to the lowest computed polymorph: 199 meV per atom